[1]
DFT (PBE) results for Pm2InHg2 after structural relaxation.

Calculated values
Spin magnetization   0.0 μB per formula unit
Energy of formation from the pure elements   -0.452 eV/atom
Space-group type   No. 127

Cell: 4.0889 8.2159 8.2159 Å, 90.00 90.00 90.00°
Closest atoms and distances in Å follow each position.
Fractional positions:
In: 0.0000 0.0000 0.0000  4 Hg 3.23
In: 0.0000 0.5000 0.5000  4 Hg 3.23
Hg: 0.0000 0.3715 0.8715  1 Hg 2.99, 6 Pm 3.09-3.22, 2 In 3.23
Hg: 0.0000 0.8715 0.6285  1 Hg 2.99, 6 Pm 3.09-3.22, 2 In 3.23
Hg: 0.0000 0.6285 0.1285  1 Hg 2.99, 6 Pm 3.09-3.22, 2 In 3.23
Hg: 0.0000 0.1285 0.3715  1 Hg 2.99, 6 Pm 3.09-3.22, 2 In 3.23
Pm: 0.5000 0.3283 0.1717  6 Hg 3.09-3.22
Pm: 0.5000 0.6717 0.8283  6 Hg 3.09-3.22
Pm: 0.5000 0.1717 0.6717  6 Hg 3.09-3.22
Pm: 0.5000 0.8283 0.3283  6 Hg 3.09-3.22


[2]
DFT (PBE) results for Ce2SbPt after structural relaxation.

Calculated values
Spin magnetization   1.9 μB per formula unit
ΔE_f (raw)   -0.944 eV per atom
Space-group type   No. 63

Cell: 4.5788 4.1569 11.7752 Å, 100.17 90.00 90.00°
Closest atoms and distances in Å follow each position.
Fractional positions:
Pt: 0.2500 0.4567 0.9135  7 Ce 2.94-3.12, 2 Pt 3.04
Pt: 0.7500 0.5433 0.0865  7 Ce 2.94-3.12, 2 Pt 3.04
Ce: 0.7500 0.9431 0.8862  6 Pt 3.11-3.12, 1 Sb 3.13
Ce: 0.2500 0.3298 0.6597  1 Pt 2.94, 5 Sb 3.13-3.19
Ce: 0.7500 0.6702 0.3403  1 Pt 2.94, 5 Sb 3.13-3.19
Ce: 0.2500 0.0569 0.1138  6 Pt 3.11-3.12, 1 Sb 3.13
Sb: 0.7500 0.8080 0.6159  6 Ce 3.13-3.19
Sb: 0.2500 0.1920 0.3841  6 Ce 3.13-3.19


[3]
DFT (PBE) results for La3BiIrO after structural relaxation.

Calculated values
Spin magnetization   0.0 μB per formula unit
ΔE_f (raw)   -1.546 eV per atom
Space-group type   No. 11

Cell: 4.2986 9.1376 9.4896 Å, 104.14 90.00 90.00°
Closest atoms and distances in Å follow each position.
Fractional positions:
La: 0.7500 0.4360 0.1524  3 Ir 2.83-2.95
La: 0.7500 0.8738 0.1492  1 O 2.38
La: 0.2500 0.5640 0.8476  3 Ir 2.83-2.95
La: 0.7500 0.1713 0.5277  3 O 2.33-2.43
La: 0.2500 0.1262 0.8508  1 O 2.38
La: 0.2500 0.8287 0.4723  3 O 2.33-2.43
O: 0.7500 0.9164 0.4070  4 La 2.33-2.43
O: 0.2500 0.0836 0.5930  4 La 2.33-2.43
Bi: 0.7500 0.8189 0.7657  7 La 3.40-3.55, 1 O 3.72
Bi: 0.2500 0.1811 0.2343  7 La 3.40-3.55, 1 O 3.72
Ir: 0.2500 0.6585 0.1550  6 La 2.83-3.03
Ir: 0.7500 0.3415 0.8450  6 La 2.83-3.03


[4]
DFT (PBE) results for Sc3RhS after structural relaxation.

Calculated values
Spin magnetization   0.0 μB per formula unit
ΔE_f (raw)   -0.583 eV per atom
Space-group type   No. 221

Cell: 4.7229 4.7229 4.7229 Å, 90.00 90.00 90.00°
Closest atoms and distances in Å follow each position.
Fractional positions:
Rh: 0.5000 0.5000 0.5000  12 Sc 3.34
Sc: 0.0000 0.0000 0.5000  2 S 2.36
Sc: 0.0000 0.5000 0.0000  2 S 2.36
Sc: 0.5000 0.0000 0.0000  2 S 2.36
S: 0.0000 0.0000 0.0000  6 Sc 2.36


[5]
DFT (PBE) results for Co2WN after structural relaxation.

Calculated values
Spin magnetization   0.0 μB per formula unit
ΔE_f (raw)   0.535 eV per atom
Space-group type   No. 122

Cell: 5.2483 5.2483 5.1718 Å, 59.51 59.51 90.00°
Closest atoms and distances in Å follow each position.
Fractional positions:
W: 0.7500 0.2500 0.5000  4 Co 2.44
W: 0.0000 0.0000 0.0000  4 Co 2.44
Co: 0.8750 0.7734 0.7500  2 N 1.77
Co: 0.5234 0.1250 0.2500  2 N 1.77
Co: 0.3750 0.4766 0.7500  2 N 1.77
Co: 0.2266 0.6250 0.2500  2 N 1.77
N: 0.2500 0.7500 0.5000  4 Co 1.77
N: 0.5000 0.5000 0.0000  4 Co 1.77


[6]
DFT (PBE) results for MgTi2NbCd after structural relaxation.

Calculated values
Spin magnetization   0.0 μB per formula unit
Energy of formation from the pure elements   1.315 eV/atom
Space-group type   No. 123

Cell: 4.9742 4.6853 4.9742 Å, 90.00 90.00 90.00°
Closest atoms and distances in Å follow each position.
Fractional positions:
Mg: 0.0000 0.5000 0.0000  2 Cd 2.34
Nb: 0.5000 0.5000 0.5000  8 Ti 3.42, 4 Mg 3.52
Cd: 0.0000 0.0000 0.0000  2 Mg 2.34, 4 Ti 2.49
Ti: 0.0000 0.0000 0.5000  2 Cd 2.49
Ti: 0.5000 0.0000 0.0000  2 Cd 2.49


> spin magnetization of number 2 (Ce2SbPt)?

1.9 μB per formula unit


> Which value of spin magnetization does entry 3 give?

0.0 μB per formula unit


> Which of these has the highest spin magnetization?

Ce2SbPt